## YZnSe2 (GGA-PBEsol)

Data for a geometry-optimized YZnSe2 structure.

Output
Formation energy without anion corrections = -1.268 eV per atom
E_tot = -5.294 eV per atom

Lattice parameters (Å, degrees): 3.9613 3.7839 11.1558 90.00 90.00 90.00
With the nearest neighbours (Å) after each atom.
Space group Amm2 (No. 38)
Asymmetric unit:
Y: 0.0000 0.0000 0.0000  6 Se 2.85-2.92, 2 Zn 3.08
Zn: 0.5000 0.0000 0.7891  1 Se 2.45
Se: 0.0000 0.0000 0.3010  4 Zn 2.74, 2 Y 2.92
Se: 0.5000 0.0000 0.5698  1 Zn 2.45